Compound: Mn2ZnIr
Source: the Alexandria database
Functional: PBE-GGA
Structure: relaxed

Values from the calculation:
D(E_F) (states/eV per cell): 8.00
Total energy (eV/atom): -6.6934
Spin magnetization (μB/f.u.): 7.6
Symmetry: I-42d, No. 122
ΔH_f (0 K) (meV per atom): 425

a b c (Å): 5.5562 5.5562 5.5562
angles (deg): 102.38 102.38 124.83
Element x y z (fractional)
1 Mn 0.1159 0.6250 0.9909
2 Mn 0.3750 0.3659 0.4909
3 Mn 0.6341 0.1250 0.0091
4 Mn 0.8750 0.8841 0.5091
5 Zn 0.2500 0.7500 0.5000
6 Zn 0.5000 0.5000 0.0000
7 Ir 0.0000 0.0000 0.0000
8 Ir 0.7500 0.2500 0.5000